[1]
Entry from Alexandria: an optimized crystal structure of Sr2Ge4Rh5 (GGA-PBE).

Output
N(E_F) = 4.340 states/eV/f.u.
DFT total energy = -6.0445 eV per atom
Calculated formation energy = -0.7181 eV/atom

Lattice parameters (Å, degrees): 5.8338 5.8481 7.7627 79.20 67.93 60.08
Positions (direct):
Sr (0.8711, 0.0000, 0.2578)
Sr (0.1289, 0.0000, 0.7422)
Ge (0.4682, 0.3212, 0.7424)
Ge (0.5318, 0.6788, 0.2576)
Ge (0.2106, 0.3212, 0.2576)
Ge (0.7894, 0.6788, 0.7424)
Rh (0.5000, 0.0000, 0.0000)
Rh (0.0000, 0.5000, 0.0000)
Rh (0.5000, 0.5000, 0.0000)
Rh (0.2500, 0.5000, 0.5000)
Rh (0.7500, 0.5000, 0.5000)

***

[2]
Entry from Alexandria: an optimized crystal structure of ZrPCS2 (GGA-PBE).

Output
N(E_F) = 2.422 states/eV/f.u.
ΔE to the lowest computed polymorph = 0.00 eV/f.u.
Raw formation energy = 0.469 eV per atom
DFT total energy = -5.8188 eV per atom

Lattice parameters (Å, degrees): 4.1638 4.1638 4.1119 90.00 90.00 90.00
Positions (direct):
P (0.0000, 0.0000, 0.5000)
S (0.0000, 0.5000, 0.0000)
S (0.5000, 0.0000, 0.0000)
C (0.0000, 0.0000, 0.0000)
Zr (0.5000, 0.5000, 0.5000)

***

[3]
Entry from Alexandria: an optimized crystal structure of TeMoAuI2 (GGA-PBE).

Output
N(E_F) = 3.461 states/eV/f.u.
ΔE to the lowest computed polymorph = 1.86 eV/f.u.
Raw formation energy = 1.012 eV per atom
DFT total energy = -3.0582 eV per atom

Lattice parameters (Å, degrees): 5.5160 5.5160 5.6720 90.00 90.00 90.00
Last column: magnetic moment on the atom in μB.
Positions (direct):
I (0.0000, 0.5000, 0.0000)  -0.02
I (0.5000, 0.0000, 0.0000)  -0.02
Mo (0.5000, 0.5000, 0.5000)  3.86
Te (0.0000, 0.0000, 0.5000)  -0.27
Au (0.0000, 0.0000, 0.0000)  0.00

***

[4]
Entry from Alexandria: an optimized crystal structure of DyCr2Ge2 (GGA-PBE).

Output
N(E_F) = 4.700 states/eV/f.u.
DFT total energy = -6.9139 eV per atom
Calculated formation energy = -0.2972 eV/atom

Lattice parameters (Å, degrees): 6.1925 6.1925 6.1925 143.40 143.40 52.73
Last column: magnetic moment on the atom in μB.
Positions (direct):
Dy (0.0000, 0.0000, 0.0000)  -0.07
Cr (0.2500, 0.7500, 0.5000)  0.79
Cr (0.7500, 0.2500, 0.5000)  0.79
Ge (0.6159, 0.6159, 0.0000)  -0.03
Ge (0.3841, 0.3841, 0.0000)  -0.03

***

[5]
Entry from Alexandria: an optimized crystal structure of Rb3Ca2HfS6 (GGA-PBE).

Output
N(E_F) = 11.585 states/eV/f.u.
Raw formation energy = -1.521 eV per atom
DFT total energy = -4.9899 eV per atom

Lattice parameters (Å, degrees): 7.0515 7.0515 7.9751 98.49 98.49 119.97
Positions (direct):
Rb (0.1722, 0.8278, 0.5000)
Rb (0.8278, 0.1722, 0.5000)
Rb (0.5000, 0.5000, 0.5000)
Ca (0.3339, 0.6661, 0.0000)
Ca (0.6661, 0.3339, 0.0000)
Hf (0.0000, 0.0000, 0.0000)
S (0.9368, 0.6320, 0.8109)
S (0.7600, 0.7600, 0.1911)
S (0.0632, 0.3680, 0.1891)
S (0.6320, 0.9368, 0.8109)
S (0.2400, 0.2400, 0.8089)
S (0.3680, 0.0632, 0.1891)

***

[6]
Entry from Alexandria: an optimized crystal structure of RbTiAlO4 (GGA-PBE).

Output
N(E_F) = 0.000 states/eV/f.u.
Raw formation energy = -2.804 eV per atom
DFT total energy = -7.4375 eV per atom

Lattice parameters (Å, degrees): 5.8428 5.8428 5.8428 60.00 60.00 60.00
Positions (direct):
Rb (0.7500, 0.7500, 0.7500)
Ti (0.5000, 0.5000, 0.5000)
Al (0.2500, 0.2500, 0.2500)
O (0.3733, 0.3733, 0.8802)
O (0.3733, 0.3733, 0.3733)
O (0.3733, 0.8802, 0.3733)
O (0.8802, 0.3733, 0.3733)